VASP calculation (PBE) on an optimized crystal structure of Pm2Y6Ho3In.

Properties
* calculated formation energy: -0.0517 eV/atom
* SG: No. 12
* E: -5.448 eV per atom

Cell: 6.1168 6.1168 11.7285 Å, 95.00 95.00 120.03°
Positions (direct):
In1 0.0000 0.0000 0.0000
Pm1 0.3338 0.6662 0.0000
Pm2 0.6662 0.3338 0.0000
Ho1 0.5000 0.5000 0.5000
Ho2 0.8336 0.1664 0.5000
Ho3 0.1664 0.8336 0.5000
Y1 0.5905 0.9175 0.7511
Y2 0.4095 0.0825 0.2489
Y3 0.9175 0.5905 0.7511
Y4 0.7558 0.7558 0.2499
Y5 0.2442 0.2442 0.7501
Y6 0.0825 0.4095 0.2489